A plane-wave DFT calculation with PBE was carried out for an optimized crystal structure of NaOs2Br11.

Cell and atoms, written as extended XYZ:
```
28
Lattice="10.6898 0.0000 5.5719 4.8828 9.0589 3.6724 1.1328 0.1398 10.8669" Properties=species:S:1:pos:R:3 pbc="T T T"
Na 4.1763 2.2997 5.0278
Br 4.8828 9.0589 3.6724
Br 2.1125 1.2446 7.5618
Na 12.5290 6.8990 15.0834
Br 7.4077 1.1264 10.4431
Br 1.9600 0.7202 2.9602
Br 6.9980 6.3800 7.5229
Br 11.9018 3.8792 9.9669
Br 9.2976 8.0723 9.6681
Br 9.1766 7.5553 15.1954
Os 10.6789 1.5853 14.3599
Br 12.7205 7.2782 9.5843
Br 11.5990 3.6127 15.4422
Br 5.1064 5.5860 4.6690
Br 3.9848 1.9204 10.5269
Br 10.5009 5.7042 7.3596
Os 6.0265 7.6134 5.7513
Br 9.7074 2.8186 12.5883
Br 8.3526 4.5993 10.0556
Br 14.7454 8.4785 17.1510
Br 6.0045 2.9560 7.8401
Br 7.5288 1.6434 4.9159
Br 10.7008 6.2427 12.2711
Br 14.5929 7.9541 12.5494
Br 6.2044 3.4945 12.7516
Os 5.9935 3.1538 10.3087
Os 10.7118 6.0449 9.8025
Br 4.8035 5.3195 10.1442
```

Output
- E_form (uncorrected): -0.2051 eV per atom
- Uncorrected energy: -3.22 eV per atom


A plane-wave DFT calculation with PBE was carried out for an optimized crystal structure of CsSrLiBr4.

Cell and atoms, written as extended XYZ:
```
14
Lattice="-0.9094 4.4781 -5.6570 -7.4409 -1.1468 0.2884 -0.4746 5.1904 8.3950" Properties=species:S:1:pos:R:3 pbc="T T T"
Sr -2.3235 3.5662 3.4410
Li -5.9411 1.8425 1.6655
Cs -2.1264 1.1974 -0.8941
Sr -6.5014 4.9556 -0.4146
Li -2.8839 6.6793 1.3610
Cs -6.6985 7.3244 3.9206
Br -6.2621 4.1386 2.5118
Br -1.0512 5.9400 -3.1260
Br -7.7737 2.5818 6.1524
Br -4.7431 5.3710 -2.9829
Br -2.7801 6.6324 3.8513
Br -4.0818 3.1508 6.0094
Br -2.5628 4.3832 0.5146
Br -6.0448 1.8894 -0.8249
```

Output
- E_form (uncorrected): -1.8644 eV per atom
- Uncorrected energy: -3.46 eV per atom


A plane-wave DFT calculation with PBE was carried out for an optimized crystal structure of CsK6Na12.

Cell and atoms, written as extended XYZ:
```
19
Lattice="1.9256 2.4141 -9.8065 -2.1540 -10.0382 -0.5472 -9.2561 4.1939 1.5618" Properties=species:S:1:pos:R:3 pbc="T T T"
K -5.2435 -3.9476 -7.6178
K -8.2842 -3.4623 -4.5268
K -4.2411 0.5174 -1.1742
Na -1.0570 -6.6877 -3.0387
Na -8.4013 -6.3227 -2.0439
K -1.2003 0.0321 -4.2651
Na -6.7125 -3.2184 -0.8847
Na -7.3454 0.3646 0.9938
Na -7.9209 0.6080 -2.6726
Na -2.7721 -0.2118 -7.9072
K -7.1740 -0.0771 -7.0453
K -2.3106 -3.3531 -1.7466
Na -8.4276 3.2575 -5.7532
Na -1.5637 -4.0382 -6.1193
Na -4.8338 2.5153 -5.1485
Na -1.0833 2.8925 -6.7480
Na -2.1392 -3.7948 -9.7857
Cs 0.0000 0.0000 0.0000
Na -4.6508 -5.9455 -3.6435
```

Output
- Formation enthalpy at 0 K: 61 meV/atom
- Uncorrected energy: -1.16 eV per atom


A plane-wave DFT calculation with PBE was carried out for an optimized crystal structure of LiDyPbAu.

Cell and atoms, written as extended XYZ:
```
4
Lattice="-1.5532 -4.7742 0.3082 -0.4241 -2.2217 4.4928 -4.5512 -1.0485 1.8676" Properties=species:S:1:pos:R:3 pbc="T T T"
Au 0.0000 0.0000 0.0000
Li -1.6321 -2.0111 1.6672
Dy -4.8963 -6.0334 5.0015
Pb -3.2642 -4.0222 3.3343
```

Output
- Formation enthalpy at 0 K: -538 meV/atom
- Uncorrected energy: -3.91 eV per atom


A plane-wave DFT calculation with PBE was carried out for an optimized crystal structure of Te2IrPdN.

Cell and atoms, written as extended XYZ:
```
5
Lattice="-0.3807 -0.7178 5.4113 0.0230 -5.4246 -0.7179 3.5990 -0.0179 0.2509" Properties=species:S:1:pos:R:3 pbc="T T T"
Te -0.1904 -0.3589 2.7056
Ir 0.0000 0.0000 0.0000
N 1.7995 -0.0090 0.1254
Pd 1.6207 -3.0801 2.4721
Te 0.0115 -2.7123 -0.3590
```

Output
- E_form (uncorrected): 0.3785 eV per atom
- ΔE to the lowest computed polymorph: 0 meV/atom
- Uncorrected energy: -5.35 eV per atom


A plane-wave DFT calculation with PBE was carried out for an optimized crystal structure of TaTcRuSe2.

Cell and atoms, written as extended XYZ:
```
5
Lattice="4.7078 0.0000 0.0000 0.0000 4.6213 0.0000 0.0000 0.0000 4.7078" Properties=species:S:1:pos:R:3 pbc="T T T"
Tc 0.0000 2.3106 0.0000
Se 2.3539 0.0000 0.0000
Ta 2.3539 2.3106 2.3539
Ru 0.0000 0.0000 0.0000
Se 0.0000 0.0000 2.3539
```

Output
- E_form (uncorrected): 1.2786 eV per atom
- Uncorrected energy: -6.41 eV per atom


A plane-wave DFT calculation with PBE was carried out for an optimized crystal structure of ZrWBr2.

Cell and atoms, written as extended XYZ:
```
4
Lattice="5.5904 0.0025 -0.0143 -2.0431 5.2037 -0.0143 1.1948 1.7536 2.8978" Properties=species:S:1:pos:R:3 pbc="T T T"
Zr -0.4241 3.4786 1.4418
W 3.3926 0.8780 1.4418
Br 1.7737 2.6031 -0.0143
Br 0.0000 0.0000 0.0000
```

Output
- E_form (uncorrected): 0.5302 eV per atom
- ΔE to the lowest computed polymorph: 598 meV/atom
- Uncorrected energy: -5.68 eV per atom


A plane-wave DFT calculation with PBE was carried out for an optimized crystal structure of Ac14SmDy.

Cell and atoms, written as extended XYZ:
```
16
Lattice="7.8100 1.0480 0.0000 -1.0477 7.8100 0.0000 0.0000 0.0000 11.2128" Properties=species:S:1:pos:R:3 pbc="T T T"
Ac 6.1842 5.8056 5.6064
Ac 3.9610 7.4841 8.4802
Ac 0.5869 3.0643 8.4802
Ac 4.4843 3.5868 8.4687
Ac 2.7921 1.3622 5.6064
Ac 6.1722 5.7888 0.0000
Ac 0.0633 6.9618 2.7198
Ac 2.2724 5.2755 5.6064
Ac 0.5869 3.0643 2.7326
Ac 3.9610 7.4841 2.7326
Dy 2.2761 5.2726 0.0000
Ac 2.8051 1.3782 0.0000
Ac 6.7038 1.8924 5.6064
Ac 4.4843 3.5868 2.7441
Ac 0.0633 6.9618 8.4930
Sm 6.7010 1.8946 0.0000
```

Output
- Formation enthalpy at 0 K: 28 meV/atom
- Uncorrected energy: -4.15 eV per atom